(one)
DFT (GGA+U) results for a geometry-optimized CoNiIO2 structure.

a b c (Å): 3.6725 3.6725 7.2620
angles (deg): 90.00 90.00 90.00
Element x y z (fractional)
Co: 0.0000 0.0000 0.0000
Ni: 0.5000 0.5000 0.5000
I: 0.0000 0.0000 0.5000
O: 0.0000 0.5000 0.0000
O: 0.5000 0.0000 0.0000

**SG**: P4/mmm (123)
**Total moment**: 4.65 μB per formula unit
**Mass density**: 4.69 g/cm3
**Volume**: 98 Å³/f.u.

***

(two)
DFT (GGA+U) results for a geometry-optimized CoNiIO2 structure.

a b c (Å): 3.7118 3.7118 6.8129
angles (deg): 90.00 90.00 90.00
Element x y z (fractional)
Co: 0.0000 0.0000 0.0000
Ni: 0.5000 0.5000 0.5000
I: 0.5000 0.5000 0.0000
O: 0.0000 0.5000 0.5000
O: 0.5000 0.0000 0.5000

**SG**: P4/mmm (123)
**Total moment**: 5.20 μB per formula unit
**Mass density**: 4.89 g/cm3
**Volume**: 94 Å³/f.u.

***

Short version: (one) is the most stable of them.